Here is a relaxed Y2MgMn2S2O5 crystal from the Alexandria database. Energies are from GGA+U.

POSCAR file:
```
Y2MgMn2S2O5
1.0
-3.931 9.201 -5.822
-1.265 6.172 -9.712
0.220 -9.059 7.204
Y S Mn Mg O
2 2 2 1 5
Cartesian
-2.269 3.723 -6.475 Y
-2.707 2.590 -1.855 Y
-1.588 1.709 -4.440 S
-3.388 4.605 -3.890 S
-1.002 -0.025 -2.688 Mn
-3.974 6.339 -5.642 Mn
0.000 0.000 0.000 Mg
-3.148 9.314 -9.412 O
-2.048 6.059 -6.123 O
-0.479 1.419 -1.433 O
-4.717 13.955 -14.101 O
-0.522 -1.444 -1.254 O
```

Results
Its density of states at the Fermi level is 0.059 states/eV per atom. The calculation puts the distance to the lowest polymorph of the same formula at 0.0000 eV/atom. The calculated volume is 176.45 Å³/f.u. The calculation puts the total magnetization at 8.000 μB/f.u.